i:
{
  "formula": "SrPtRh2",
  "functional": "GGA-PBE",
  "state": "optimized geometry",
  "cell": [[-8.005, -2.958, 3.911], [-6.118, -3.509, 6.196], [-7.303, -0.760, 5.850]],
  "species": ["Pt", "Rh", "Rh", "Sr"],
  "fractional_positions": [[0.750, 0.750, 0.750], [0.008, 0.008, 0.008], [0.492, 0.492, 0.492], [0.250, 0.250, 0.250]],
  "magmom_total_mub_per_atom": 0.00,
  "rho_g_cm3": 11.2
}

=====

ii:
{
  "formula": "SrPtRh2",
  "functional": "GGA-PBE",
  "state": "optimized geometry",
  "cell": [[4.351, -0.903, 0.655], [2.917, 3.352, 0.655], [1.579, 0.532, 5.551]],
  "species": ["Pt", "Rh", "Rh", "Sr"],
  "fractional_positions": [[0.250, 0.250, 0.250], [0.937, 0.937, 0.188], [0.563, 0.563, 0.312], [0.750, 0.750, 0.750]],
  "magmom_total_mub_per_atom": 0.00,
  "rho_g_cm3": 8.9
}

=====

ii takes first place; second place is 0.711 eV/atom up.

=====

i:
{
  "formula": "SrPtRh2",
  "functional": "GGA-PBE",
  "state": "optimized geometry",
  "cell": [[-3.884, -2.590, 0.536], [-3.651, 1.711, 2.412], [-3.949, 1.195, -2.248]],
  "species": ["Sr", "Rh", "Rh", "Pt"],
  "fractional_positions": [[0.000, 0.000, 0.000], [0.250, 0.250, 0.250], [0.750, 0.750, 0.750], [0.500, 0.500, 0.500]],
  "magmom_total_mub_per_atom": 0.43,
  "rho_g_cm3": 11.1
}

=====

ii:
{
  "formula": "SrPtRh2",
  "functional": "GGA-PBE",
  "state": "optimized geometry",
  "cell": [[4.523, 0.000, 0.000], [0.000, 4.523, 0.000], [2.262, 2.262, 9.121]],
  "species": ["Sr", "Sr", "Rh", "Rh", "Rh", "Rh", "Pt", "Pt"],
  "fractional_positions": [[0.500, 0.500, 0.000], [0.250, 0.750, 0.500], [0.768, 0.125, 0.250], [0.982, 0.625, 0.250], [0.375, 0.232, 0.750], [0.875, 0.018, 0.750], [0.000, 0.000, 0.000], [0.750, 0.250, 0.500]],
  "magmom_total_mub_per_atom": 0.00,
  "rho_g_cm3": 8.7
}

=====

ii takes first place; second place is 0.107 eV/atom up.

=====

i:
{
  "formula": "SrPtRh2",
  "functional": "GGA-PBE",
  "state": "optimized geometry",
  "cell": [[-0.549, 3.945, 3.190], [-4.467, -1.188, -3.283], [-1.742, -1.493, 1.742]],
  "species": ["Pt", "Rh", "Rh", "Sr"],
  "fractional_positions": [[0.500, 0.500, 0.000], [0.000, 0.000, 0.000], [0.500, 0.000, 0.500], [0.000, 0.500, 0.500]],
  "magmom_total_mub_per_atom": 0.00,
  "rho_g_cm3": 11.3
}

=====

ii:
{
  "formula": "SrPtRh2",
  "functional": "GGA-PBE",
  "state": "optimized geometry",
  "cell": [[-0.560, -4.398, -0.126], [1.705, -0.283, 2.312], [-3.871, 0.359, 4.663]],
  "species": ["Pt", "Rh", "Rh", "Sr"],
  "fractional_positions": [[0.500, 0.923, 0.774], [0.000, 0.797, 0.037], [0.500, 0.234, 0.165], [0.000, 0.547, 0.524]],
  "magmom_total_mub_per_atom": 0.03,
  "rho_g_cm3": 10.7
}

=====

iii:
{
  "formula": "SrPtRh2",
  "functional": "GGA-PBE",
  "state": "optimized geometry",
  "cell": [[-0.550, 1.049, 4.702], [-0.939, -1.844, 4.386], [5.363, -0.910, 1.721]],
  "species": ["Pt", "Rh", "Rh", "Sr"],
  "fractional_positions": [[0.260, 0.260, 0.200], [0.001, 0.001, 0.977], [0.739, 0.739, 0.825], [0.499, 0.499, 0.497]],
  "magmom_total_mub_per_atom": 0.00,
  "rho_g_cm3": 10.6
}

=====

ii takes first place; second place is 0.017 eV/atom up.

=====

i:
{
  "formula": "SrPtRh2",
  "functional": "GGA-PBE",
  "state": "optimized geometry",
  "cell": [[4.189, 0.000, 0.000], [0.000, 4.188, 0.000], [0.000, 0.000, 4.112]],
  "species": ["Pt", "Rh", "Rh", "Sr"],
  "fractional_positions": [[0.000, 0.500, 0.500], [0.000, 0.000, 0.000], [0.500, 0.500, 0.000], [0.500, 0.000, 0.500]],
  "magmom_total_mub_per_atom": 0.00,
  "rho_g_cm3": 11.2
}

=====

ii:
{
  "formula": "SrPtRh2",
  "functional": "GGA-PBE",
  "state": "optimized geometry",
  "cell": [[5.100, -0.273, -0.351], [1.979, 4.708, 0.351], [-3.266, -2.654, 2.915]],
  "species": ["Pt", "Rh", "Rh", "Sr"],
  "fractional_positions": [[0.243, 0.743, 0.500], [0.997, 0.997, 0.000], [0.758, 0.258, 0.500], [0.501, 0.501, 0.000]],
  "magmom_total_mub_per_atom": 0.00,
  "rho_g_cm3": 11.1
}

=====

i takes first place; second place is 0.079 eV/atom up.

=====

i:
{
  "formula": "SrPtRh2",
  "functional": "GGA-PBE",
  "state": "optimized geometry",
  "cell": [[3.238, 0.000, 0.000], [0.000, 3.238, 0.000], [0.000, 0.000, 7.297]],
  "species": ["Pt", "Rh", "Rh", "Sr"],
  "fractional_positions": [[0.500, 0.500, 0.802], [0.000, 0.000, 0.008], [0.500, 0.500, 0.188], [0.000, 0.000, 0.502]],
  "magmom_total_mub_per_atom": 0.00,
  "rho_g_cm3": 10.6
}

=====

ii:
{
  "formula": "SrPtRh2",
  "functional": "GGA-PBE",
  "state": "optimized geometry",
  "cell": [[-2.039, 0.261, -2.681], [0.959, -3.071, -1.029], [-5.016, -2.754, 3.546]],
  "species": ["Pt", "Rh", "Rh", "Sr"],
  "fractional_positions": [[0.500, 0.500, 0.750], [0.000, 0.000, 0.945], [0.000, 0.000, 0.555], [0.500, 0.500, 0.250]],
  "magmom_total_mub_per_atom": 0.00,
  "rho_g_cm3": 10.6
}

=====

i takes first place; second place is 0.075 eV/atom up.

=====

i:
{
  "formula": "SrPtRh2",
  "functional": "GGA-PBE",
  "state": "optimized geometry",
  "cell": [[-3.200, 3.874, -0.366], [-3.574, -0.709, 3.479], [5.019, -0.046, 0.433]],
  "species": ["Pt", "Rh", "Rh", "Sr"],
  "fractional_positions": [[0.750, 0.250, 0.500], [0.000, 0.000, 0.000], [0.500, 0.500, 0.000], [0.250, 0.750, 0.500]],
  "magmom_total_mub_per_atom": 0.00,
  "rho_g_cm3": 11.2
}

=====

ii:
{
  "formula": "SrPtRh2",
  "functional": "GGA-PBE",
  "state": "optimized geometry",
  "cell": [[4.724, 0.000, 0.000], [2.362, 4.091, 0.000], [2.362, 1.364, 3.857]],
  "species": ["Pt", "Rh", "Rh", "Sr"],
  "fractional_positions": [[0.500, 0.500, 0.500], [0.000, 0.000, 0.000], [0.250, 0.250, 0.250], [0.750, 0.750, 0.750]],
  "magmom_total_mub_per_atom": 0.47,
  "rho_g_cm3": 10.9
}

=====

iii:
{
  "formula": "SrPtRh2",
  "functional": "GGA-PBE",
  "state": "optimized geometry",
  "cell": [[-2.791, 4.078, -0.891], [-1.840, -3.743, -2.795], [-1.799, -0.752, 2.192]],
  "species": ["Pt", "Rh", "Rh", "Sr"],
  "fractional_positions": [[0.000, 0.500, 0.500], [0.000, 0.000, 0.000], [0.500, 0.500, 0.000], [0.500, 0.000, 0.500]],
  "magmom_total_mub_per_atom": 0.00,
  "rho_g_cm3": 11.5
}

=====

iii takes first place; second place is 0.048 eV/atom up.

=====

i:
{
  "formula": "SrPtRh3",
  "functional": "GGA-PBE",
  "state": "optimized geometry",
  "cell": [[-3.228, -2.220, 2.914], [-2.256, -1.855, -3.913], [2.886, -3.933, 0.200]],
  "species": ["Sr", "Rh", "Rh", "Rh", "Pt"],
  "fractional_positions": [[0.500, 0.500, 0.500], [0.000, 0.500, 0.000], [0.000, 0.000, 0.500], [0.500, 0.000, 0.000], [0.000, 0.000, 0.000]],
  "magmom_total_mub_per_atom": 0.44,
  "rho_g_cm3": 8.4
}

=====

ii:
{
  "formula": "SrPtRh3",
  "functional": "GGA-PBE",
  "state": "optimized geometry",
  "cell": [[4.835, 0.000, 0.000], [0.000, 4.835, 0.000], [0.000, 0.000, 4.835]],
  "species": ["Sr", "Rh", "Rh", "Rh", "Pt"],
  "fractional_positions": [[0.000, 0.000, 0.000], [0.000, 0.500, 0.000], [0.000, 0.000, 0.500], [0.500, 0.000, 0.000], [0.500, 0.500, 0.500]],
  "magmom_total_mub_per_atom": 0.49,
  "rho_g_cm3": 8.7
}

=====

i takes first place; second place is 1.417 eV/atom up.

=====

i:
{
  "formula": "TaPtRh4",
  "functional": "GGA-PBE",
  "state": "optimized geometry",
  "cell": [[-2.971, 2.875, 3.053], [-3.766, -3.801, -3.838], [3.331, -4.381, 3.615]],
  "species": ["Ta", "Ta", "Pt", "Pt", "Rh", "Rh", "Rh", "Rh", "Rh", "Rh", "Rh", "Rh"],
  "fractional_positions": [[0.750, 0.689, 0.811], [0.250, 0.311, 0.189], [0.250, 0.572, 0.928], [0.750, 0.428, 0.072], [0.249, 0.987, 0.843], [0.766, 0.097, 0.752], [0.251, 0.657, 0.513], [0.734, 0.748, 0.403], [0.266, 0.252, 0.597], [0.749, 0.343, 0.487], [0.234, 0.903, 0.248], [0.751, 0.013, 0.157]],
  "magmom_total_mub_per_atom": 0.00,
  "rho_g_cm3": 14.4
}

=====

ii:
{
  "formula": "TaPtRh4",
  "functional": "GGA-PBE",
  "state": "optimized geometry",
  "cell": [[-4.601, -1.458, -1.583], [-4.030, 2.985, 0.812], [-2.220, 2.386, -3.897]],
  "species": ["Ta", "Pt", "Rh", "Rh", "Rh", "Rh"],
  "fractional_positions": [[0.750, 0.750, 0.750], [0.000, 0.000, 0.000], [0.876, 0.375, 0.375], [0.375, 0.375, 0.876], [0.375, 0.876, 0.375], [0.375, 0.375, 0.375]],
  "magmom_total_mub_per_atom": 0.00,
  "rho_g_cm3": 14.1
}

=====

i takes first place; second place is 0.235 eV/atom up.

=====

i:
{
  "formula": "TaPt2Rh6",
  "functional": "GGA-PBE",
  "state": "optimized geometry",
  "cell": [[-3.575, 2.110, -2.219], [-3.827, 1.415, 2.496], [1.071, 6.891, 2.318]],
  "species": ["Ta", "Pt", "Pt", "Rh", "Rh", "Rh", "Rh", "Rh", "Rh"],
  "fractional_positions": [[0.000, 0.000, 0.500], [0.500, 0.834, 0.832], [0.500, 0.166, 0.168], [0.165, 0.829, 0.171], [0.835, 0.500, 0.171], [0.835, 0.171, 0.829], [0.165, 0.500, 0.829], [0.334, 0.330, 0.500], [0.666, 0.670, 0.500]],
  "magmom_total_mub_per_atom": 0.00,
  "rho_g_cm3": 14.5
}

=====

ii:
{
  "formula": "TaPt2Rh6",
  "functional": "GGA-PBE",
  "state": "optimized geometry",
  "cell": [[-3.499, -1.736, -0.006], [0.007, -4.402, -1.843], [0.443, -5.310, 6.344]],
  "species": ["Ta", "Pt", "Pt", "Rh", "Rh", "Rh", "Rh", "Rh", "Rh"],
  "fractional_positions": [[0.000, 0.500, 0.500], [0.334, 0.611, 0.722], [0.666, 0.389, 0.278], [0.661, 0.728, 0.949], [0.339, 0.272, 0.051], [0.002, 0.827, 0.168], [0.335, 0.945, 0.386], [0.998, 0.173, 0.832], [0.665, 0.055, 0.614]],
  "magmom_total_mub_per_atom": 0.00,
  "rho_g_cm3": 14.8
}

=====

ii takes first place; second place is 0.164 eV/atom up.

=====

i:
{
  "formula": "Ta2Pt2Rh",
  "functional": "GGA-PBE",
  "state": "optimized geometry",
  "cell": [[2.827, 0.000, 0.000], [0.000, 3.969, 0.752], [0.000, 0.644, 7.450]],
  "species": ["Ta", "Ta", "Pt", "Pt", "Rh"],
  "fractional_positions": [[0.500, 0.394, 0.211], [0.500, 0.606, 0.789], [0.000, 0.189, 0.622], [0.000, 0.811, 0.378], [0.000, 0.000, 0.000]],
  "magmom_total_mub_per_atom": 0.00,
  "rho_g_cm3": 17.3
}

=====

ii:
{
  "formula": "Ta2Pt2Rh",
  "functional": "GGA-PBE",
  "state": "optimized geometry",
  "cell": [[-7.071, 1.473, 0.254], [-1.493, -7.014, -0.898], [0.029, -0.420, 3.236]],
  "species": ["Rh", "Rh", "Pt", "Pt", "Pt", "Pt", "Ta", "Ta", "Ta", "Ta"],
  "fractional_positions": [[0.000, 0.000, 0.000], [0.500, 0.500, 0.000], [0.368, 0.868, 0.000], [0.868, 0.632, 0.000], [0.632, 0.132, 0.000], [0.132, 0.368, 0.000], [0.172, 0.672, 0.500], [0.672, 0.828, 0.500], [0.828, 0.328, 0.500], [0.328, 0.172, 0.500]],
  "magmom_total_mub_per_atom": 0.00,
  "rho_g_cm3": 16.7
}

=====

i takes first place; second place is 0.083 eV/atom up.

=====

i:
{
  "formula": "TaZnPtRh",
  "functional": "GGA-PBE",
  "state": "optimized geometry",
  "cell": [[-1.584, -3.686, -1.917], [1.601, -3.980, 1.172], [-2.528, -2.813, 2.340]],
  "species": ["Zn", "Rh", "Pt", "Ta"],
  "fractional_positions": [[0.500, 0.500, 0.500], [0.250, 0.250, 0.250], [0.750, 0.750, 0.750], [0.000, 0.000, 0.000]],
  "magmom_total_mub_per_atom": 0.00,
  "rho_g_cm3": 14.5
}

=====

ii:
{
  "formula": "TaZnPtRh",
  "functional": "GGA-PBE",
  "state": "optimized geometry",
  "cell": [[4.025, 0.000, 0.000], [0.000, 4.025, 0.000], [-2.013, -2.013, 3.759]],
  "species": ["Ta", "Zn", "Pt", "Rh"],
  "fractional_positions": [[0.750, 0.250, 0.500], [0.250, 0.750, 0.500], [0.500, 0.500, 0.000], [0.000, 0.000, 0.000]],
  "magmom_total_mub_per_atom": 0.00,
  "rho_g_cm3": 14.8
}

=====

ii takes first place; second place is 0.110 eV/atom up.

=====

i:
{
  "formula": "Tb8Pt2Rh",
  "functional": "GGA-PBE",
  "state": "optimized geometry",
  "cell": [[5.956, 0.050, -1.007], [-1.964, 6.761, -2.858], [-0.138, -0.135, 7.596]],
  "species": ["Tb", "Tb", "Tb", "Tb", "Tb", "Tb", "Tb", "Tb", "Pt", "Pt", "Rh"],
  "fractional_positions": [[0.585, 0.340, 0.082], [0.585, 0.082, 0.340], [0.169, 0.361, 0.361], [0.988, 0.213, 0.790], [0.988, 0.790, 0.213], [0.810, 0.645, 0.645], [0.374, 0.922, 0.666], [0.374, 0.666, 0.922], [0.489, 0.692, 0.317], [0.489, 0.317, 0.692], [0.148, 0.005, 0.005]],
  "magmom_total_mub_per_atom": 0.00,
  "rho_g_cm3": 9.7
}

=====

ii:
{
  "formula": "Tb8Pt2Rh",
  "functional": "GGA-PBE",
  "state": "optimized geometry",
  "cell": [[-0.001, -0.061, -4.999], [-6.579, -1.739, 0.023], [-0.277, 8.705, 2.393]],
  "species": ["Tb", "Tb", "Tb", "Tb", "Tb", "Tb", "Tb", "Tb", "Pt", "Pt", "Rh"],
  "fractional_positions": [[0.411, 0.554, 0.821], [0.664, 0.971, 0.329], [0.795, 0.677, 0.590], [0.967, 0.216, 0.934], [0.205, 0.323, 0.410], [0.336, 0.029, 0.671], [0.589, 0.446, 0.179], [0.033, 0.784, 0.066], [0.806, 0.270, 0.613], [0.194, 0.730, 0.387], [0.500, 0.000, 0.000]],
  "magmom_total_mub_per_atom": 0.00,
  "rho_g_cm3": 10.2
}

=====

ii takes first place; second place is 0.088 eV/atom up.